<one>
VASP calculation (PBE-GGA) on a geometry-optimized ZnCoBr4 structure.

Unit cell a=7.1981 b=7.1981 c=8.9663 alpha=90.00 beta=90.00 gamma=90.00
Atoms (fractional coordinates):
Zn1 0.0000 0.5000 0.0000
Zn2 0.5000 0.0000 0.5000
Co1 0.0000 0.0000 0.0000
Co2 0.0000 0.0000 0.5000
Br1 0.2343 0.2426 0.0000
Br2 0.2343 0.7574 0.0000
Br3 0.2426 0.2343 0.5000
Br4 0.2426 0.7657 0.5000
Br5 0.7574 0.2343 0.5000
Br6 0.7574 0.7657 0.5000
Br7 0.7657 0.2426 0.0000
Br8 0.7657 0.7574 0.0000


<two>
VASP calculation (PBE-GGA) on a geometry-optimized ZnCoBr4 structure.

Unit cell a=6.2633 b=6.2633 c=6.2633 alpha=60.00 beta=60.00 gamma=60.00
Atoms (fractional coordinates):
Zn1 0.0000 0.0000 0.0000
Co1 0.2500 0.2500 0.2500
Br1 0.1268 0.6244 0.6244
Br2 0.6244 0.1268 0.6244
Br3 0.6244 0.6244 0.1268
Br4 0.6244 0.6244 0.6244


The most stable of them is <one>.